The following is a DFT calculation (GGA+U) of crystalline Cs2NiGeF6 at its relaxed geometry.

Cell lengths 6.207, 6.207, 6.207 Å; angles 60.00, 60.00, 60.00 degrees
Positions (direct):
Cs 0.250 0.250 0.250
Cs 0.750 0.750 0.750
Ni 0.000 0.000 0.000
Ge 0.500 0.500 0.500
F 0.238 0.238 0.762
F 0.238 0.762 0.238
F 0.238 0.762 0.762
F 0.762 0.238 0.238
F 0.762 0.238 0.762
F 0.762 0.762 0.238

VASP energy in eV for the cell shown: -43.882